No. 1
Density functional theory data (PBE) for RbFeBr3 after structural relaxation.

Values from the calculation:
The formation energy without anion corrections is -645 meV per atom.

Unit cell a=8.5923 b=8.5923 c=8.5923 alpha=132.05 beta=132.05 gamma=70.14
Atoms (fractional coordinates):
Rb: 0.1410 0.1410 0.0000
Rb: 0.8590 0.8590 0.0000
Fe: 0.5000 0.5000 0.0000
Fe: 0.7500 0.2500 0.5000
Br: 0.0895 0.5895 0.5000
Br: 0.1197 0.3620 0.7577
Br: 0.4105 0.9105 0.5000
Br: 0.6043 0.3620 0.2423
Br: 0.6380 0.3957 0.7577
Br: 0.6380 0.8803 0.2423

No. 2
Density functional theory data (PBE) for MgCoSe2 after structural relaxation.

Values from the calculation:
The formation energy without anion corrections is -155 meV per atom. The offset from the most stable computed form is 0.369 eV per atom.

Unit cell a=3.5262 b=3.6135 c=7.1919 alpha=90.00 beta=90.00 gamma=90.00
Atoms (fractional coordinates):
Mg: 0.0000 0.0000 0.0000
Co: 0.0000 0.5000 0.5000
Se: 0.5000 0.0000 0.5000
Se: 0.5000 0.5000 0.0000

No. 3
Density functional theory data (PBE) for Be2Ag2Sb after structural relaxation.

Values from the calculation:
The formation energy without anion corrections is 252 meV per atom. The offset from the most stable computed form is 0.000 eV per atom.

Unit cell a=8.3629 b=8.3629 c=8.3629 alpha=157.79 beta=157.79 gamma=31.61
Atoms (fractional coordinates):
Be: 0.2500 0.7500 0.5000
Be: 0.7500 0.2500 0.5000
Ag: 0.1355 0.1355 0.0000
Ag: 0.8645 0.8645 0.0000
Sb: 0.5000 0.5000 0.0000

No. 4
Density functional theory data (PBE) for HfVHg2 after structural relaxation.

Values from the calculation:
The energy of formation is 0.55 eV/atom. The offset from the most stable computed form is 0.330 eV per atom.

Unit cell a=6.1113 b=6.1113 c=6.1113 alpha=102.93 beta=102.93 gamma=123.53
Atoms (fractional coordinates):
Hf: 0.0000 0.0000 0.0000
Hf: 0.7500 0.2500 0.5000
V: 0.2500 0.7500 0.5000
V: 0.5000 0.5000 0.0000
Hg: 0.1473 0.6250 0.0223
Hg: 0.3750 0.3973 0.5223
Hg: 0.6027 0.1250 0.9777
Hg: 0.8750 0.8527 0.4777

No. 5
Density functional theory data (PBE) for Tb2ScPaP4 after structural relaxation.

Values from the calculation:
The energy of formation is -1.50 eV/atom.

Unit cell a=6.7964 b=3.9588 c=6.8586 alpha=90.00 beta=109.46 gamma=90.00
Atoms (fractional coordinates):
Tb: 0.0000 0.0000 0.0000
Tb: 0.5000 0.5000 0.0000
Sc: 0.0000 0.5000 0.5000
Pa: 0.5000 0.0000 0.5000
P: 0.2424 0.0000 0.7361
P: 0.2479 0.5000 0.2591
P: 0.7521 0.5000 0.7409
P: 0.7576 0.0000 0.2639

No. 6
Density functional theory data (PBE) for YScRe2 after structural relaxation.

Values from the calculation:
The energy of formation is 0.31 eV/atom. The offset from the most stable computed form is 0.358 eV per atom.

Unit cell a=3.3367 b=4.6314 c=4.7404 alpha=90.00 beta=90.00 gamma=90.00
Atoms (fractional coordinates):
Y: 0.0000 0.0000 0.0000
Sc: 0.5000 0.0000 0.5000
Re: 0.0000 0.5000 0.5000
Re: 0.5000 0.5000 0.0000

Calculated D(E_F) in order - 1.08, 3.78, 1.13, 7.77, 4.48, 3.58 states/eV/cell